1.
Density functional theory data (PBE-GGA) for an optimized crystal structure of ErLuGaSn.

Properties
The density of states at the Fermi level comes out at 3.29 states/eV/f.u. The total moment is 0.0002 μB per atom. The calculated total energy is -18.11 eV/cell. Its space group is F-43m, No. 216. The calculation puts the formation energy at -2.001 eV/f.u. The crystal system is cubic.

abc: 5.151 5.151 5.151
angles: 60.00 60.00 60.00
Fractional coordinates of all 4 atoms:
Lu 0.500 0.500 0.500
Ga 0.750 0.750 0.750
Sn 0.250 0.250 0.250
Er 0.000 0.000 0.000


2.
Density functional theory data (PBE-GGA) for an optimized crystal structure of TbErLuGa.

Properties
The density of states at the Fermi level comes out at 6.01 states/eV/f.u. The total moment is 0.0028 μB per atom. The calculated total energy is -17.14 eV/cell. Its space group is F-43m, No. 216. The calculation puts the formation energy at -0.400 eV/f.u. The crystal system is cubic.

abc: 5.272 5.272 5.272
angles: 60.00 60.00 60.00
Fractional coordinates of all 4 atoms:
Tb 0.000 0.000 0.000
Er 0.500 0.500 0.500
Ga 0.750 0.750 0.750
Lu 0.250 0.250 0.250


Q: What is the total moment in the second record?
A: 0.0028 μB per atom


Q: Which value of total moment does entry 2 give?
A: 0.0028 μB per atom


What did the first record say?
Density functional theory data (PBE-GGA) for an optimized crystal structure of ErLuGaSn.

Properties
The density of states at the Fermi level comes out at 3.29 states/eV/f.u. The total moment is 0.0002 μB per atom. The calculated total energy is -18.11 eV/cell. Its space group is F-43m, No. 216. The calculation puts the formation energy at -2.001 eV/f.u. The crystal system is cubic.

abc: 5.151 5.151 5.151
angles: 60.00 60.00 60.00
Fractional coordinates of all 4 atoms:
Lu 0.500 0.500 0.500
Ga 0.750 0.750 0.750
Sn 0.250 0.250 0.250
Er 0.000 0.000 0.000


Q: Among the records above, which one has the highest density of states at the Fermi level?
A: TbErLuGa